The following is a DFT calculation (GGA-PBE) of RbTmAgSe3 after structural relaxation.

* size of the total moment: 0.1 μB per formula unit
* total energy: -50.786 eV for the cell shown
* space-group type: No. 63

Lattice parameters (Å, degrees): 8.1064 8.1064 10.6654 90.00 90.00 150.87
Element x y z (fractional)
1 Se 0.6239 0.3761 0.4564
2 Se 0.9289 0.0711 0.2500
3 Rb 0.7515 0.2485 0.7500
4 Tm 0.0000 0.0000 0.5000
5 Ag 0.4640 0.5360 0.7500
6 Rb 0.2485 0.7515 0.2500
7 Se 0.3761 0.6239 0.9564
8 Ag 0.5360 0.4640 0.2500
9 Se 0.0711 0.9289 0.7500
10 Tm 0.0000 0.0000 0.0000
11 Se 0.3761 0.6239 0.5436
12 Se 0.6239 0.3761 0.0436